# 1
Pr2GdIn3AgPd2: relaxed, PBE.

Unit cell a=3.9523 b=7.9088 c=7.9088 alpha=119.91 beta=90.00 gamma=90.00
Fractional positions:
Ag (0.5000, 0.9988, 0.9988)
Gd (0.5000, 0.5897, 0.5897)
In (0.0000, 0.2663, 0.2663)
In (0.0000, 0.9958, 0.7353)
In (0.0000, 0.7353, 0.9958)
Pd (0.0000, 0.6651, 0.3378)
Pd (0.0000, 0.3378, 0.6651)
Pr (0.5000, 0.4112, 0.0001)
Pr (0.5000, 0.0001, 0.4112)

Summary:
- Magnetization: 0.00 μB per formula unit

# 2
Tb2GdIn3AgPd2: relaxed, PBE.

Unit cell a=3.8267 b=7.8369 c=7.8369 alpha=120.01 beta=90.00 gamma=90.00
Fractional positions:
Ag (0.5000, 0.0000, 0.0000)
Gd (0.5000, 0.4102, 0.4102)
In (0.0000, 0.2677, 0.0000)
In (0.0000, 0.0000, 0.2677)
In (0.0000, 0.7324, 0.7324)
Pd (0.0000, 0.6668, 0.3333)
Pd (0.0000, 0.3333, 0.6668)
Tb (0.5000, 0.5898, 0.0000)
Tb (0.5000, 0.0000, 0.5898)

Summary:
- Magnetization: 0.03 μB per formula unit

# 3
TbGd2In3AgPd2: relaxed, PBE.

Unit cell a=3.8306 b=7.8429 c=7.8429 alpha=119.99 beta=90.00 gamma=90.00
Fractional positions:
Ag (0.0000, 0.0000, 0.0000)
Gd (0.0000, 0.5898, 0.0000)
Gd (0.0000, 0.0000, 0.5898)
In (0.5000, 0.2676, 0.0000)
In (0.5000, 0.0000, 0.2676)
In (0.5000, 0.7323, 0.7323)
Pd (0.5000, 0.6666, 0.3334)
Pd (0.5000, 0.3334, 0.6666)
Tb (0.0000, 0.4102, 0.4102)

Summary:
- Magnetization: 0.01 μB per formula unit

Number 1: total DFT energy (no corrections) -41.64 eV per cell, calculated density 8.557 g cm⁻³. Number 2: total DFT energy (no corrections) -41.55 eV per cell, calculated density 9.303 g cm⁻³. Number 3: total DFT energy (no corrections) -41.57 eV per cell, calculated density 9.265 g cm⁻³.